No. 1
The following is a PBE calculation of a relaxed PrTlGeO4 crystal, from Alexandria.

Summary:
Total DFT energy (no corrections)   -6.571 eV/atom
Formation energy (no corrections)   -14.4 eV/f.u.
DOS at the Fermi energy   0.0000 states/eV per atom
SG   P2_1/m

Cell: 6.171 5.954 7.773 Å, 90.00 103.83 90.00°
Fractional positions:
O 0.920 0.021 0.663
O 0.080 0.521 0.337
O 0.451 0.750 0.205
O 0.549 0.250 0.795
O 0.080 0.979 0.337
O 0.920 0.479 0.663
O 0.544 0.250 0.434
O 0.456 0.750 0.566
Pr 0.790 0.750 0.435
Pr 0.210 0.250 0.565
Tl 0.331 0.250 0.111
Tl 0.669 0.750 0.889
Ge 0.729 0.250 0.650
Ge 0.271 0.750 0.350

***

No. 2
The following is a PBE calculation of a relaxed Y4SiSe crystal, from Alexandria.

Summary:
Total DFT energy (no corrections)   -5.531 eV/atom
Formation energy (no corrections)   1.6 eV/f.u.
DOS at the Fermi energy   1.1023 states/eV per atom
SG   F-43m

Cell: 6.125 6.125 6.125 Å, 60.00 60.00 60.00°
Fractional positions:
Si 0.000 0.000 0.000
Y 0.374 0.374 0.878
Y 0.374 0.878 0.374
Y 0.878 0.374 0.374
Y 0.374 0.374 0.374
Se 0.750 0.750 0.750

***

No. 3
The following is a PBE calculation of a relaxed MnIrW2 crystal, from Alexandria.

Summary:
Total DFT energy (no corrections)   -10.980 eV/atom
Relative energy among the computed polymorphs   49 meV/atom
DOS at the Fermi energy   1.4292 states/eV per atom
DFT formation energy   0.018 eV/f.u.
SG   P4/mmm

Cell: 2.774 2.774 7.502 Å, 90.00 90.00 90.00°
Fractional positions:
W 0.000 0.000 0.516
W 0.000 0.000 0.984
Mn 0.500 0.500 0.750
Ir 0.500 0.500 0.250

***

No. 4
The following is a PBE calculation of a relaxed EuLuInPt crystal, from Alexandria.

Summary:
Total DFT energy (no corrections)   -6.540 eV/atom
DOS at the Fermi energy   1.5902 states/eV per atom
DFT formation energy   -2.587 eV/f.u.
SG   F-43m

Cell: 5.156 5.156 5.156 Å, 60.00 60.00 60.00°
Each line ends with the local moment (μB).
Fractional positions:
Eu 0.000 0.000 0.000  6.76
In 0.750 0.750 0.750  0.00
Pt 0.250 0.250 0.250  -0.01
Lu 0.500 0.500 0.500  0.01

***

No. 5
The following is a PBE calculation of a relaxed AcPm9Er2 crystal, from Alexandria.

Summary:
Total DFT energy (no corrections)   -4.639 eV/atom
DOS at the Fermi energy   1.6707 states/eV per atom
DFT formation energy   0.326 eV/f.u.
SG   P4/mmm

Cell: 5.165 5.165 15.505 Å, 90.00 90.00 90.00°
Fractional positions:
Pm 0.500 0.000 0.826
Pm 0.500 0.000 0.174
Pm 0.500 0.500 0.338
Pm 0.500 0.500 0.662
Pm 0.000 0.500 0.826
Pm 0.000 0.500 0.174
Pm 0.000 0.500 0.500
Pm 0.500 0.500 0.000
Pm 0.500 0.000 0.500
Ac 0.000 0.000 0.000
Er 0.000 0.000 0.663
Er 0.000 0.000 0.337

***

No. 6
The following is a PBE calculation of a relaxed Na2ScCr crystal, from Alexandria.

Summary:
Total DFT energy (no corrections)   -3.957 eV/atom
Relative energy among the computed polymorphs   0 meV/atom
DOS at the Fermi energy   0.5916 states/eV per atom
DFT formation energy   2.766 eV/f.u.
SG   I-42d

Cell: 4.076 4.076 12.307 Å, 80.47 80.47 90.00°
Each line ends with the local moment (μB).
Fractional positions:
Na 0.111 0.625 0.250  -0.01
Na 0.375 0.361 0.750  -0.01
Na 0.639 0.125 0.250  -0.01
Na 0.875 0.889 0.750  -0.01
Cr 0.750 0.250 0.500  3.61
Cr 0.000 0.000 0.000  3.61
Sc 0.250 0.750 0.500  -0.12
Sc 0.500 0.500 0.000  -0.12

***

No. 7
The following is a PBE calculation of a relaxed Pm4PdRu2 crystal, from Alexandria.

Summary:
Total DFT energy (no corrections)   -6.461 eV/atom
Relative energy among the computed polymorphs   0 meV/atom
DOS at the Fermi energy   0.6956 states/eV per atom
DFT formation energy   -2.478 eV/f.u.
SG   R-3m

Cell: 4.952 4.952 8.564 Å, 73.19 73.19 60.00°
Fractional positions:
Pm 0.378 0.378 0.867
Pm 0.873 0.873 0.382
Pm 0.127 0.127 0.618
Pm 0.622 0.622 0.133
Pd 0.000 0.000 0.000
Ru 0.251 0.251 0.247
Ru 0.749 0.749 0.753

***

No. 8
The following is a PBE calculation of a relaxed PRh3 crystal, from Alexandria.

Summary:
Total DFT energy (no corrections)   -7.028 eV/atom
DOS at the Fermi energy   1.5028 states/eV per atom
DFT formation energy   -0.646 eV/f.u.
SG   P4/mmm

Cell: 2.842 2.842 6.800 Å, 90.00 90.00 90.00°
Each line ends with the local moment (μB).
Fractional positions:
Rh 0.500 0.500 0.209  0.30
Rh 0.500 0.500 0.791  0.30
Rh 0.000 0.000 0.500  0.77
P 0.000 0.000 0.000  0.00

***

No. 9
The following is a PBE calculation of a relaxed BaMoRu3 crystal, from Alexandria.

Summary:
Total DFT energy (no corrections)   -5.002 eV/atom
Relative energy among the computed polymorphs   2149 meV/atom
DOS at the Fermi energy   3.6843 states/eV per atom
DFT formation energy   15.571 eV/f.u.
SG   Pm-3m

Cell: 4.844 4.844 4.844 Å, 90.00 90.00 90.00°
Fractional positions:
Ru 0.500 0.000 0.000
Ru 0.000 0.000 0.500
Ru 0.000 0.500 0.000
Ba 0.000 0.000 0.000
Mo 0.500 0.500 0.500

***

No. 10
The following is a PBE calculation of a relaxed Nd3Dy6YTh2 crystal, from Alexandria.

Summary:
Total DFT energy (no corrections)   -5.248 eV/atom
DOS at the Fermi energy   1.3287 states/eV per atom
DFT formation energy   0.241 eV/f.u.
SG   C2/m

Cell: 6.218 6.218 11.828 Å, 95.04 95.04 119.97°
Fractional positions:
Dy 0.256 0.256 0.755
Dy 0.082 0.420 0.245
Dy 0.420 0.082 0.245
Dy 0.744 0.744 0.245
Dy 0.580 0.918 0.755
Dy 0.918 0.580 0.755
Nd 0.500 0.500 0.500
Nd 0.834 0.166 0.500
Nd 0.166 0.834 0.500
Th 0.667 0.333 0.000
Th 0.333 0.667 0.000
Y 0.000 0.000 0.000

***

No. 11
The following is a PBE calculation of a relaxed CaSc2N crystal, from Alexandria.

Summary:
Total DFT energy (no corrections)   -6.397 eV/atom
Formation energy (no corrections)   -2.6 eV/f.u.
DOS at the Fermi energy   0.6502 states/eV per atom
SG   Fd-3m

Cell: 6.704 6.704 6.706 Å, 60.01 60.01 90.00°
Fractional positions:
Sc 0.375 0.625 0.250
Sc 0.375 0.125 0.250
Sc 0.375 0.625 0.750
Sc 0.875 0.625 0.750
Ca 0.750 0.250 0.500
Ca 0.000 0.000 0.000
N 0.250 0.750 0.500
N 0.500 0.500 0.000

***

No. 12
The following is a PBE calculation of a relaxed La5PaCo4 crystal, from Alexandria.

Summary:
Total DFT energy (no corrections)   -6.442 eV/atom
DOS at the Fermi energy   1.0387 states/eV per atom
DFT formation energy   -1.865 eV/f.u.
SG   C2/m

Cell: 4.169 7.366 9.556 Å, 115.04 102.60 90.00°
Fractional positions:
La 0.178 0.562 0.356
La 0.500 0.500 0.000
La 0.822 0.438 0.644
La 0.155 0.045 0.310
La 0.845 0.955 0.690
Co 0.020 0.214 0.039
Co 0.635 0.289 0.269
Co 0.980 0.786 0.961
Co 0.365 0.711 0.731
Pa 0.500 0.000 0.000

***

Copy entry 7 word for word.
The following is a PBE calculation of a relaxed Pm4PdRu2 crystal, from Alexandria.

Summary:
Total DFT energy (no corrections)   -6.461 eV/atom
Relative energy among the computed polymorphs   0 meV/atom
DOS at the Fermi energy   0.6956 states/eV per atom
DFT formation energy   -2.478 eV/f.u.
SG   R-3m

Cell: 4.952 4.952 8.564 Å, 73.19 73.19 60.00°
Fractional positions:
Pm 0.378 0.378 0.867
Pm 0.873 0.873 0.382
Pm 0.127 0.127 0.618
Pm 0.622 0.622 0.133
Pd 0.000 0.000 0.000
Ru 0.251 0.251 0.247
Ru 0.749 0.749 0.753

***

What is the formula in the sixth record?
Na2ScCr

***

Among the records above, which one has the highest DOS at the Fermi energy?
BaMoRu3

***

What is the DOS at the Fermi energy in the sixth record?
0.5916 states/eV per atom